(1)
# PuNpMnRu GGA-PBE relaxed
# Energy relative to the elements ... 4 meV per atom
# Space-group type ... F-43m
data_PuNpMnRu
_cell_length_a 4.5399
_cell_length_b 4.5399
_cell_length_c 4.5399
_cell_angle_alpha 60.00
_cell_angle_beta 60.00
_cell_angle_gamma 60.00
_space_group_name_H-M_alt 'P 1'
_space_group_IT_number 1
_space_group_name_Hall 'P 1'
loop_
_atom_site_label
_atom_site_type_symbol
_atom_site_fract_x
_atom_site_fract_y
_atom_site_fract_z
Np1 Np 0.7500 0.7500 0.7500
Ru1 Ru 0.2500 0.2500 0.2500
Mn1 Mn 0.0000 0.0000 0.0000
Pu1 Pu 0.5000 0.5000 0.5000

***

(2)
# Sr2LiPbO5 GGA-PBE relaxed
# Formation energy without anion corrections ... -1.82 eV per atom
# Space-group type ... Cmc2_1
data_Sr2LiPbO5
_cell_length_a 3.5467
_cell_length_b 6.9881
_cell_length_c 10.6827
_cell_angle_alpha 90.00
_cell_angle_beta 90.00
_cell_angle_gamma 104.70
_space_group_name_H-M_alt 'P 1'
_space_group_IT_number 1
_space_group_name_Hall 'P 1'
loop_
_atom_site_label
_atom_site_type_symbol
_atom_site_fract_x
_atom_site_fract_y
_atom_site_fract_z
O1 O 0.6610 0.3219 0.5049
O2 O 0.3274 0.6547 0.3742
O3 O 0.6942 0.3884 0.1616
O4 O 0.9743 0.9486 0.5196
O5 O 0.3390 0.6781 0.0049
O6 O 0.3058 0.6116 0.6616
O7 O 0.0257 0.0514 0.0196
O8 O 0.5023 0.0045 0.2747
O9 O 0.6726 0.3453 0.8742
O10 O 0.4977 0.9955 0.7747
Sr1 Sr 0.8892 0.7784 0.1829
Sr2 Sr 0.1329 0.2658 0.3308
Sr3 Sr 0.8671 0.7342 0.8308
Sr4 Sr 0.1108 0.2216 0.6829
Li1 Li 0.5194 0.0388 0.9567
Li2 Li 0.4806 0.9612 0.4567
Pb1 Pb 0.1818 0.3637 0.0188
Pb2 Pb 0.8182 0.6363 0.5188

***

(3)
# MgNpP2Ir2 GGA-PBE relaxed
# Energy relative to the elements ... -581 meV per atom
# Space-group type ... P-3m1
data_MgNpP2Ir2
_cell_length_a 3.9603
_cell_length_b 3.9603
_cell_length_c 7.8620
_cell_angle_alpha 90.00
_cell_angle_beta 90.00
_cell_angle_gamma 120.00
_space_group_name_H-M_alt 'P 1'
_space_group_IT_number 1
_space_group_name_Hall 'P 1'
loop_
_atom_site_label
_atom_site_type_symbol
_atom_site_fract_x
_atom_site_fract_y
_atom_site_fract_z
Ir1 Ir 0.6667 0.3333 0.7207
Ir2 Ir 0.3333 0.6667 0.2793
Np1 Np 0.0000 0.0000 0.0000
P1 P 0.6667 0.3333 0.2295
P2 P 0.3333 0.6667 0.7705
Mg1 Mg 0.0000 0.0000 0.5000

***

(4)
# Nd4AlRh GGA-PBE relaxed
# Energy relative to the elements ... -420 meV per atom
# Energy above the lowest structure with this stoichiometry ... 0 meV per atom
# Space-group type ... F-43m
data_Nd4AlRh
_cell_length_a 9.8443
_cell_length_b 9.8443
_cell_length_c 9.8443
_cell_angle_alpha 60.00
_cell_angle_beta 60.00
_cell_angle_gamma 60.00
_space_group_name_H-M_alt 'P 1'
_space_group_IT_number 1
_space_group_name_Hall 'P 1'
loop_
_atom_site_label
_atom_site_type_symbol
_atom_site_fract_x
_atom_site_fract_y
_atom_site_fract_z
Nd1 Nd 0.3989 0.8034 0.3989
Nd2 Nd 0.8139 0.1861 0.8139
Nd3 Nd 0.5544 0.9456 0.5544
Nd4 Nd 0.8139 0.1861 0.1861
Nd5 Nd 0.9456 0.5544 0.9456
Nd6 Nd 0.8034 0.3989 0.3989
Nd7 Nd 0.1861 0.8139 0.8139
Nd8 Nd 0.3989 0.3989 0.8034
Nd9 Nd 0.5544 0.9456 0.9456
Nd10 Nd 0.9456 0.9456 0.5544
Nd11 Nd 0.3989 0.3989 0.3989
Nd12 Nd 0.8139 0.8139 0.1861
Nd13 Nd 0.1861 0.1861 0.8139
Nd14 Nd 0.9456 0.5544 0.5544
Nd15 Nd 0.5544 0.5544 0.9456
Nd16 Nd 0.1861 0.8139 0.1861
Al1 Al 0.1758 0.1758 0.1758
Al2 Al 0.4725 0.1758 0.1758
Al3 Al 0.1758 0.1758 0.4725
Al4 Al 0.1758 0.4725 0.1758
Rh1 Rh 0.1754 0.6082 0.6082
Rh2 Rh 0.6082 0.6082 0.6082
Rh3 Rh 0.6082 0.6082 0.1754
Rh4 Rh 0.6082 0.1754 0.6082

***

(5)
# La3Nd7Sm2 GGA-PBE relaxed
# Energy relative to the elements ... 247 meV per atom
# Energy above the lowest structure with this stoichiometry ... 171 meV per atom
# Space-group type ... R-3m
data_La3Nd7Sm2
_cell_length_a 6.7357
_cell_length_b 6.7357
_cell_length_c 12.0267
_cell_angle_alpha 73.74
_cell_angle_beta 73.74
_cell_angle_gamma 60.00
_space_group_name_H-M_alt 'P 1'
_space_group_IT_number 1
_space_group_name_Hall 'P 1'
loop_
_atom_site_label
_atom_site_type_symbol
_atom_site_fract_x
_atom_site_fract_y
_atom_site_fract_z
Nd1 Nd 0.5866 0.0797 0.7471
Nd2 Nd 0.4134 0.9203 0.2529
Nd3 Nd 0.4134 0.4134 0.2529
Nd4 Nd 0.9203 0.4134 0.2529
Nd5 Nd 0.5000 0.5000 0.5000
Nd6 Nd 0.5866 0.5866 0.7471
Nd7 Nd 0.0797 0.5866 0.7471
Sm1 Sm 0.6656 0.6656 0.0031
Sm2 Sm 0.3344 0.3344 0.9969
La1 La 0.0000 0.0000 0.0000
La2 La 0.8503 0.8503 0.4491
La3 La 0.1497 0.1497 0.5509

***

(6)
# PrScTl2Te4 GGA-PBE relaxed
# Formation energy without anion corrections ... -0.98 eV per atom
# Space-group type ... P2/m
data_PrScTl2Te4
_cell_length_a 4.4342
_cell_length_b 7.7025
_cell_length_c 8.5372
_cell_angle_alpha 107.33
_cell_angle_beta 90.00
_cell_angle_gamma 90.00
_space_group_name_H-M_alt 'P 1'
_space_group_IT_number 1
_space_group_name_Hall 'P 1'
loop_
_atom_site_label
_atom_site_type_symbol
_atom_site_fract_x
_atom_site_fract_y
_atom_site_fract_z
Sc1 Sc 0.0000 0.0000 0.0000
Te1 Te 0.5000 0.7828 0.7931
Te2 Te 0.5000 0.2172 0.2069
Te3 Te 0.0000 0.2421 0.7829
Te4 Te 0.0000 0.7579 0.2171
Tl1 Tl 0.0000 0.5000 0.5000
Tl2 Tl 0.5000 0.0000 0.5000
Pr1 Pr 0.5000 0.5000 0.0000

***

(7)
# SrPb5S6 GGA-PBE relaxed
# Formation energy without anion corrections ... -0.81 eV per atom
# Space-group type ... C2/m
data_SrPb5S6
_cell_length_a 7.3651
_cell_length_b 7.3652
_cell_length_c 7.3640
_cell_angle_alpha 59.99
_cell_angle_beta 80.42
_cell_angle_gamma 70.56
_space_group_name_H-M_alt 'P 1'
_space_group_IT_number 1
_space_group_name_Hall 'P 1'
loop_
_atom_site_label
_atom_site_type_symbol
_atom_site_fract_x
_atom_site_fract_y
_atom_site_fract_z
Pb1 Pb 0.0000 0.6668 0.6665
Pb2 Pb 0.5000 0.8335 0.3330
Pb3 Pb 0.0000 0.3332 0.3335
Pb4 Pb 0.5000 0.1665 0.6670
Pb5 Pb 0.5000 0.5000 0.0000
S1 S 0.2489 0.5844 0.3328
S2 S 0.7504 0.7506 0.0000
S3 S 0.7511 0.0829 0.3328
S4 S 0.2489 0.9171 0.6672
S5 S 0.2496 0.2494 0.0000
S6 S 0.7511 0.4156 0.6672
Sr1 Sr 0.0000 0.0000 0.0000

***

(8)
# HoNi2BRu GGA-PBE relaxed
# Energy relative to the elements ... -486 meV per atom
# Space-group type ... P4/mmm
data_HoNi2BRu
_cell_length_a 4.1577
_cell_length_b 4.0117
_cell_length_c 4.0117
_cell_angle_alpha 90.00
_cell_angle_beta 90.00
_cell_angle_gamma 90.00
_space_group_name_H-M_alt 'P 1'
_space_group_IT_number 1
_space_group_name_Hall 'P 1'
loop_
_atom_site_label
_atom_site_type_symbol
_atom_site_fract_x
_atom_site_fract_y
_atom_site_fract_z
B1 B 0.0000 0.0000 0.0000
Ni1 Ni 0.0000 0.0000 0.5000
Ni2 Ni 0.0000 0.5000 0.0000
Ru1 Ru 0.5000 0.0000 0.0000
Ho1 Ho 0.5000 0.5000 0.5000

***

(9)
# Sr6Au7 GGA-PBE relaxed
# Energy relative to the elements ... -506 meV per atom
# Space-group type ... R-3m
data_Sr6Au7
_cell_length_a 11.1717
_cell_length_b 11.1717
_cell_length_c 11.1717
_cell_angle_alpha 34.86
_cell_angle_beta 34.86
_cell_angle_gamma 34.86
_space_group_name_H-M_alt 'P 1'
_space_group_IT_number 1
_space_group_name_Hall 'P 1'
loop_
_atom_site_label
_atom_site_type_symbol
_atom_site_fract_x
_atom_site_fract_y
_atom_site_fract_z
Au1 Au 0.5000 0.5000 0.5000
Au2 Au 0.5561 0.1319 0.5561
Au3 Au 0.4439 0.4439 0.8681
Au4 Au 0.4439 0.8681 0.4439
Au5 Au 0.8681 0.4439 0.4439
Au6 Au 0.5561 0.5561 0.1319
Au7 Au 0.1319 0.5561 0.5561
Sr1 Sr 0.6774 0.6774 0.6774
Sr2 Sr 0.3226 0.3226 0.3226
Sr3 Sr 0.1873 0.1873 0.1873
Sr4 Sr 0.0659 0.0659 0.0659
Sr5 Sr 0.9341 0.9341 0.9341
Sr6 Sr 0.8127 0.8127 0.8127

***

(10)
# LiZnGa GGA-PBE relaxed
# Energy relative to the elements ... -68 meV per atom
# Energy above the lowest structure with this stoichiometry ... 162 meV per atom
# Space-group type ... F-43m
data_LiZnGa
_cell_length_a 4.2588
_cell_length_b 4.2588
_cell_length_c 4.2588
_cell_angle_alpha 60.00
_cell_angle_beta 60.00
_cell_angle_gamma 60.00
_space_group_name_H-M_alt 'P 1'
_space_group_IT_number 1
_space_group_name_Hall 'P 1'
loop_
_atom_site_label
_atom_site_type_symbol
_atom_site_fract_x
_atom_site_fract_y
_atom_site_fract_z
Li1 Li 0.5000 0.5000 0.5000
Zn1 Zn 0.2500 0.2500 0.2500
Ga1 Ga 0.0000 0.0000 0.0000

***

(11)
# Zr2ReTc GGA-PBE relaxed
# Energy relative to the elements ... -78 meV per atom
# Space-group type ... Pm
data_Zr2ReTc
_cell_length_a 4.5898
_cell_length_b 2.9752
_cell_length_c 5.3634
_cell_angle_alpha 78.07
_cell_angle_beta 90.00
_cell_angle_gamma 90.00
_space_group_name_H-M_alt 'P 1'
_space_group_IT_number 1
_space_group_name_Hall 'P 1'
loop_
_atom_site_label
_atom_site_type_symbol
_atom_site_fract_x
_atom_site_fract_y
_atom_site_fract_z
Zr1 Zr 0.5000 0.2613 0.2591
Zr2 Zr 0.0000 0.9849 0.9923
Re1 Re 0.0000 0.5062 0.5057
Tc1 Tc 0.5000 0.7476 0.7430

***

no.,magnetization (μB/f.u.),energy (eV for the cell shown)
1,2.636,-45.7
2,1.049,-100.3
3,3.303,-46.6
4,0.000,-130.7
5,0.001,-54.6
6,0.000,-36.3
7,0.000,-54.7
8,0.000,-34.5
9,0.000,-39.6
10,0.000,-6.4
11,0.000,-40.2